(1)
The following is a DFT calculation (PBE-GGA) of a geometry-optimized LiLa2GaPd structure.

Cell: 6.4241 5.0684 6.4241 Å, 90.00 90.00 90.00°
Fractional positions:
Li  0.0000  0.5000  0.0000
Ga  0.0000  0.0000  0.0000
Pd  0.5000  0.5000  0.5000
La  0.0000  0.0000  0.5000
La  0.5000  0.0000  0.0000

- Energy of formation from the pure elements: 153 kJ/mol of formula units
- Density of states at the Fermi level: 0.67 states/eV per atom
- Offset from the most stable computed form: 0.559 eV/atom
- Theoretical density: 3.66 Mg/m³

***

(2)
The following is a DFT calculation (PBE-GGA) of a geometry-optimized LiTlSiAs2 structure.

Cell: 3.8700 7.0316 9.1938 Å, 79.52 77.85 74.03°
Fractional positions:
Li  0.3520  0.3910  0.9050
Li  0.6480  0.6090  0.0950
Tl  0.8197  0.7212  0.6394
Tl  0.1803  0.2788  0.3606
Si  0.0348  0.1007  0.8296
Si  0.9652  0.8993  0.1704
As  0.4360  0.7977  0.3303
As  0.5640  0.2023  0.6697
As  0.8479  0.2401  0.0642
As  0.1521  0.7599  0.9358

- Density of states at the Fermi level: 0.15 states/eV per atom
- Theoretical density: 5.55 Mg/m³

***

(3)
The following is a DFT calculation (PBE-GGA) of a geometry-optimized Nd12Ho7Pu structure.

Cell: 6.2043 11.4992 11.4992 Å, 116.84 100.36 100.36°
Fractional positions:
Nd  0.0873  0.5867  0.1744
Nd  0.0870  0.1744  0.5877
Nd  0.5711  0.6471  0.0009
Nd  0.4298  0.0009  0.3538
Nd  0.4993  0.4123  0.5867
Nd  0.0760  0.6462  0.6471
Nd  0.9240  0.3538  0.3529
Nd  0.5007  0.5877  0.4133
Nd  0.5702  0.9991  0.6462
Nd  0.4289  0.3529  0.9991
Nd  0.9130  0.8256  0.4123
Nd  0.9127  0.4133  0.8256
Ho  0.1162  0.7605  0.0010
Ho  0.8849  0.0010  0.2406
Ho  0.6443  0.7594  0.7605
Ho  0.5000  0.0000  0.0000
Ho  0.3557  0.2406  0.2395
Ho  0.1151  0.9990  0.7594
Ho  0.8838  0.2395  0.9990
Pu  0.0000  0.0000  0.0000

- Energy of formation from the pure elements: 437 kJ/mol of formula units
- Density of states at the Fermi level: 1.62 states/eV per atom
- Theoretical density: 7.56 Mg/m³

***

(4)
The following is a DFT calculation (PBE-GGA) of a geometry-optimized Ca3BIr structure.

Cell: 4.9874 4.9874 4.9874 Å, 90.00 90.00 90.00°
Fractional positions:
Ca  0.0000  0.5000  0.0000
Ca  0.0000  0.0000  0.5000
Ca  0.5000  0.0000  0.0000
Ir  0.5000  0.5000  0.5000
B  0.0000  0.0000  0.0000

- Energy of formation from the pure elements: 239 kJ/mol of formula units
- Density of states at the Fermi level: 0.90 states/eV per atom
- Offset from the most stable computed form: 0.000 eV/atom
- Theoretical density: 4.33 Mg/m³

***

(5)
The following is a DFT calculation (PBE-GGA) of a geometry-optimized TbMgSbAu structure.

Cell: 5.1075 5.1075 5.1075 Å, 60.00 60.00 60.00°
Fractional positions:
Tb  0.0000  0.0000  0.0000
Mg  0.5000  0.5000  0.5000
Au  0.7500  0.7500  0.7500
Sb  0.2500  0.2500  0.2500

- Density of states at the Fermi level: 0.96 states/eV per atom
- Theoretical density: 8.85 Mg/m³

***

(6)
The following is a DFT calculation (PBE-GGA) of a geometry-optimized La2HfNi2 structure.

Cell: 7.0755 7.0755 4.4613 Å, 90.00 90.00 90.00°
Fractional positions:
Ni  0.3645  0.8645  0.0000
Ni  0.8645  0.6355  0.0000
Ni  0.6355  0.1355  0.0000
Ni  0.1355  0.3645  0.0000
Hf  0.0000  0.0000  0.0000
Hf  0.5000  0.5000  0.0000
La  0.1719  0.6719  0.5000
La  0.6719  0.8281  0.5000
La  0.8281  0.3281  0.5000
La  0.3281  0.1719  0.5000

- Energy of formation from the pure elements: -75 kJ/mol of formula units
- Density of states at the Fermi level: 1.07 states/eV per atom
- Theoretical density: 8.53 Mg/m³

***

Number 1: VASP energy -3.682 eV per atom. Number 2: VASP energy -3.987 eV per atom. Number 3: VASP energy -4.953 eV per atom. Number 4: VASP energy -3.813 eV per atom. Number 5: VASP energy -3.985 eV per atom. Number 6: VASP energy -6.429 eV per atom.